VASP calculation (PBE) on an optimized crystal structure of HfTa5Ga3.

Results
- N(E_F) (states/eV per atom) = 0.663
- spin magnetization (Bohr magnetons per cell) = 0.0
- total DFT energy (no corrections) (eV/atom) = -8.27
- volume (Å³ per atom) = 20.93
- DFT formation energy (meV/atom) = 434

Unit cell a=7.294 b=7.294 c=9.206 alpha=62.19 beta=62.19 gamma=68.84
Fractional positions:
Hf  0.135  0.135  0.648
Hf  0.865  0.865  0.352
Ta  0.885  0.328  0.221
Ta  0.316  0.684  0.000
Ta  0.755  0.755  0.048
Ta  0.463  0.463  0.273
Ta  0.537  0.537  0.727
Ta  0.245  0.245  0.952
Ta  0.328  0.885  0.221
Ta  0.684  0.316  0.000
Ta  0.115  0.672  0.779
Ta  0.672  0.115  0.779
Ga  0.737  0.737  0.755
Ga  0.627  0.627  0.395
Ga  0.000  0.000  0.000
Ga  0.000  0.000  0.500
Ga  0.263  0.263  0.245
Ga  0.373  0.373  0.605